# NaCr2InH4O10, relaxed, DFT PBE with a Hubbard U
# - ρ (g cm⁻³) = 3.10
# - Fermi-level density of states (states/eV/atom) = 0.000
# - energy (eV/cell) = -104.9
data_NaCr2InH4O10
_chemical_formula_sum 'Na1 Cr2 In1 H4 O10'
_space_group_name_H-M_alt 'P 1'
_space_group_IT_number 1
_cell_length_a 6.3166
_cell_length_b 6.3166
_cell_length_c 7.2865
_cell_angle_alpha 70.45
_cell_angle_beta 70.45
_cell_angle_gamma 53.75
loop_
_space_group_symop_operation_xyz
'x,y,z'
loop_
_atom_site_label
_atom_site_type_symbol
_atom_site_fract_x
_atom_site_fract_y
_atom_site_fract_z
H1 H 0.2686 0.2686 0.8079
H2 H 0.7616 0.7616 0.9490
H3 H 0.7314 0.7314 0.1921
H4 H 0.2384 0.2384 0.0510
O1 O 0.2802 0.7720 0.7677
O2 O 0.3469 0.3469 0.5643
O3 O 0.6531 0.6531 0.4357
O4 O 0.2027 0.2027 0.9450
O5 O 0.2280 0.7198 0.2323
O6 O 0.7973 0.7973 0.0550
O7 O 0.7198 0.2280 0.2323
O8 O 0.2568 0.2568 0.2728
O9 O 0.7720 0.2802 0.7677
O10 O 0.7432 0.7432 0.7272
In1 In 0.0000 0.0000 0.0000
Cr1 Cr 0.3859 0.3859 0.3253
Cr2 Cr 0.6141 0.6141 0.6747
Na1 Na 0.0000 0.0000 0.5000